1.
# DyLuPd PBE optimized geometry
# energy relative to the elements = -0.582 eV/atom
# final energy = -5.354 eV per atom
# total magnetization = 0.0000 μB/atom
data_DyLuPd
_chemical_formula_sum 'Dy2 Lu2 Pd2'
_symmetry_space_group_name_H-M 'I 4 m m'
_symmetry_Int_Tables_number 107
_symmetry_space_group_name_Hall 'I 4 -2'
_cell_length_a 3.5053
_cell_length_b 3.5053
_cell_length_c 12.0598
_cell_angle_alpha 90.00
_cell_angle_beta 90.00
_cell_angle_gamma 90.00
loop_
_atom_site_label
_atom_site_fract_x
_atom_site_fract_y
_atom_site_fract_z
_atom_site_occupancy
Dy1 0.0000 0.0000 0.0000 1
Lu1 0.0000 0.0000 0.2776 1
Pd1 0.0000 0.0000 0.6475 1

---

2.
# DyLuPd PBE optimized geometry
# energy relative to the elements = -0.508 eV/atom
# final energy = -5.280 eV per atom
# total magnetization = 0.0000 μB/atom
data_DyLuPd
_chemical_formula_sum 'Dy4 Lu4 Pd4'
_symmetry_space_group_name_H-M 'F -4 3 m'
_symmetry_Int_Tables_number 216
_symmetry_space_group_name_Hall 'F -4 2 3'
_cell_length_a 6.8412
_cell_length_b 6.8412
_cell_length_c 6.8412
_cell_angle_alpha 90.00
_cell_angle_beta 90.00
_cell_angle_gamma 90.00
loop_
_atom_site_label
_atom_site_fract_x
_atom_site_fract_y
_atom_site_fract_z
_atom_site_occupancy
Dy1 0.0000 0.0000 0.0000 1
Lu1 0.0000 0.0000 0.5000 1
Pd1 0.2500 0.2500 0.2500 1

---

3.
# DyLuPd2 PBE optimized geometry
# energy relative to the elements = -0.923 eV/atom
# final energy = -5.801 eV per atom
# total magnetization = 0.0000 μB/atom
data_DyLuPd2
_chemical_formula_sum 'Dy1 Lu1 Pd2'
_symmetry_space_group_name_H-M 'P 4/m m m'
_symmetry_Int_Tables_number 123
_symmetry_space_group_name_Hall '-P 4 2'
_cell_length_a 4.9491
_cell_length_b 4.9491
_cell_length_c 3.4150
_cell_angle_alpha 90.00
_cell_angle_beta 90.00
_cell_angle_gamma 90.00
loop_
_atom_site_label
_atom_site_fract_x
_atom_site_fract_y
_atom_site_fract_z
_atom_site_occupancy
Dy1 0.0000 0.0000 0.0000 1
Lu1 0.5000 0.5000 0.0000 1
Pd1 0.0000 0.5000 0.5000 1

---

4.
# DyLu2Pd PBE optimized geometry
# energy relative to the elements = -0.132 eV/atom
# final energy = -4.842 eV per atom
# total magnetization = 0.0575 μB/atom
data_DyLu2Pd
_chemical_formula_sum 'Dy3 Lu6 Pd3'
_symmetry_space_group_name_H-M 'R -3 m'
_symmetry_Int_Tables_number 166
_symmetry_space_group_name_Hall '-R 3 2"'
_cell_length_a 4.9985
_cell_length_b 4.9985
_cell_length_c 13.9116
_cell_angle_alpha 90.00
_cell_angle_beta 90.00
_cell_angle_gamma 120.00
loop_
_atom_site_label
_atom_site_fract_x
_atom_site_fract_y
_atom_site_fract_z
_atom_site_occupancy
Dy1 0.0000 0.0000 0.0000 1
Lu1 0.0000 0.0000 0.2324 1
Pd1 0.0000 0.0000 0.5000 1

---

5.
# DyLuPd2 PBE optimized geometry
# energy relative to the elements = -0.927 eV/atom
# final energy = -5.805 eV per atom
# total magnetization = 0.0000 μB/atom
data_DyLuPd2
_chemical_formula_sum 'Dy4 Lu4 Pd8'
_symmetry_space_group_name_H-M 'F m -3 m'
_symmetry_Int_Tables_number 225
_symmetry_space_group_name_Hall '-F 4 2 3'
_cell_length_a 6.9547
_cell_length_b 6.9547
_cell_length_c 6.9547
_cell_angle_alpha 90.00
_cell_angle_beta 90.00
_cell_angle_gamma 90.00
loop_
_atom_site_label
_atom_site_fract_x
_atom_site_fract_y
_atom_site_fract_z
_atom_site_occupancy
Dy1 0.0000 0.0000 0.0000 1
Lu1 0.0000 0.0000 0.5000 1
Pd1 0.2500 0.2500 0.2500 1

---

6.
# Dy2LuPd PBE optimized geometry
# energy relative to the elements = -0.078 eV/atom
# final energy = -4.808 eV per atom
# total magnetization = 0.0000 μB/atom
data_Dy2LuPd
_chemical_formula_sum 'Dy6 Lu3 Pd3'
_symmetry_space_group_name_H-M 'R -3 m'
_symmetry_Int_Tables_number 166
_symmetry_space_group_name_Hall '-R 3 2"'
_cell_length_a 3.5537
_cell_length_b 3.5537
_cell_length_c 31.7518
_cell_angle_alpha 90.00
_cell_angle_beta 90.00
_cell_angle_gamma 120.00
loop_
_atom_site_label
_atom_site_fract_x
_atom_site_fract_y
_atom_site_fract_z
_atom_site_occupancy
Dy1 0.0000 0.0000 0.1049 1
Lu1 0.0000 0.0000 0.0000 1
Pd1 0.0000 0.0000 0.5000 1